## NiPt2Se6 (GGA-PBE)

Data for a relaxed NiPt2Se6 crystal.

Cell lengths 6.687, 6.687, 10.678 Å; angles 116.38, 116.38, 32.03 degrees
Element x y z (fractional)
Ni (0.000, 0.000, 0.000)
Pt (0.336, 0.336, 0.670)
Pt (0.664, 0.664, 0.330)
Se (0.014, 0.014, 0.233)
Se (0.315, 0.315, 0.422)
Se (0.362, 0.362, 0.919)
Se (0.638, 0.638, 0.081)
Se (0.685, 0.685, 0.578)
Se (0.986, 0.986, 0.767)

Output
theoretical density = 6.8 Mg/m³
V = 224.56 Å³/cell
uncorrected formation energy = -3.02 eV/f.u.
ΔE to the lowest computed polymorph = 0.000 eV/f.u.

=====

## NiSnPt2Se (GGA-PBE)

Data for a relaxed NiSnPt2Se crystal.

Cell lengths 4.967, 4.967, 4.669 Å; angles 90.00, 90.00, 90.00 degrees
Element x y z (fractional)
Ni (0.000, 0.000, 0.000)
Sn (0.000, 0.000, 0.500)
Pt (0.000, 0.500, 0.500)
Pt (0.500, 0.000, 0.500)
Se (0.500, 0.500, 0.000)

Output
theoretical density = 9.3 Mg/m³
V = 115.20 Å³/cell
uncorrected formation energy = 5.03 eV/f.u.

=====

## Th4NiPtSe2 (GGA-PBE)

Data for a relaxed Th4NiPtSe2 crystal.

Cell lengths 7.066, 4.179, 7.568 Å; angles 90.00, 107.99, 90.00 degrees
Element x y z (fractional)
Th (0.238, 0.000, 0.225)
Th (0.248, 0.500, 0.771)
Th (0.752, 0.500, 0.229)
Th (0.762, 0.000, 0.775)
Ni (0.000, 0.500, 0.000)
Pt (0.500, 0.000, 0.000)
Se (0.000, 0.000, 0.500)
Se (0.500, 0.500, 0.500)

Output
theoretical density = 10.5 Mg/m³
V = 212.53 Å³/cell
uncorrected formation energy = -9.11 eV/f.u.

=====

VASP energy (eV/atom)
-4.6439; -4.0640; -7.1975